A plane-wave DFT calculation with PBE was carried out for a geometry-optimized AsOsPdBr2 structure.

Lattice parameters (Å, degrees): 5.202 5.202 4.646 90.00 90.00 90.00
Space group P4/mmm (No. 123)
Asymmetric unit:
As 0.000 0.000 0.000 x1
Os 0.000 0.000 0.500 x1
Pd 0.500 0.500 0.000 x1
Br 0.000 0.500 0.500 x2

Summary:
Uncorrected formation energy = 79.3 kJ/mol of atoms
Final energy = -4.062 eV per atom